# 1
# MgZnSnBi

A relaxed MgZnSnBi crystal (PBE-GGA, Alexandria).

The structure in POSCAR format:
```
MgZnSnBi
1.0
5.1831 0.0000 0.0000
2.5915 4.4887 0.0000
2.5915 1.4962 4.2320
Bi Sn Mg Zn
1 1 1 1
Direct
0.7500 0.7500 0.7500
0.2500 0.2500 0.2500
0.0000 0.0000 0.0000
0.5000 0.5000 0.5000
```

## Properties
**Symmetry**: F-43m

# 2
# SrMgBi2

A relaxed SrMgBi2 crystal (PBE-GGA, Alexandria).

The structure in POSCAR format:
```
SrMgBi2
1.0
5.9919 0.0000 0.0000
0.0000 5.9919 0.0000
2.9960 2.9960 9.2659
Mg Bi Sr
2 4 2
Direct
0.5000 0.5000 0.0000
0.2500 0.7500 0.5000
0.2555 0.6250 0.2500
0.4945 0.1250 0.2500
0.3750 0.5055 0.7500
0.8750 0.7445 0.7500
0.7500 0.2500 0.5000
0.0000 0.0000 0.0000
```

## Properties
**Symmetry**: I-42d

no.,DFT formation energy (eV/atom),raw total energy (eV/atom),magnetic moment (μB per formula unit)
1,0.067,-2.62,0.000
2,-0.253,-3.01,0.000